# Dy2Er2Mg5Sc (PBE, optimized geometry)
data_Dy2Er2Mg5Sc
_symmetry_space_group_name_H-M 'P 4/m b m'
_symmetry_Int_Tables_number 127
_symmetry_space_group_name_Hall '-P 4 2ab'
_cell_length_a 10.479
_cell_length_b 10.479
_cell_length_c 4.926
_cell_angle_alpha 90.00
_cell_angle_beta 90.00
_cell_angle_gamma 90.00
loop_
_atom_site_label
_atom_site_type_symbol
_atom_site_fract_x
_atom_site_fract_y
_atom_site_fract_z
Dy1 Dy 0.177 0.323 0.000
Er1 Er 0.120 0.620 0.000
Mg1 Mg 0.000 0.500 0.500
Mg2 Mg 0.071 0.807 0.500
Sc1 Sc 0.000 0.000 0.000
# - formation energy (eV/atom) = 0.104